(1)
Entry from Alexandria: crystalline La2Pm4In at its relaxed geometry (PBE-GGA).

DFT formation energy	-0.064	eV per atom
space group	No. 11
E_tot	-64.1	eV/cell

Cell and atoms, written as POSCAR:
```
La2Pm4In
1.0
5.826 0.000 0.000
0.000 6.798 0.000
-2.722 0.000 11.684
La Pm In
4 8 2
Direct
0.001 0.250 0.476
0.350 0.750 0.086
0.650 0.250 0.914
0.999 0.750 0.524
0.142 0.003 0.780
0.142 0.497 0.780
0.209 0.250 0.058
0.430 0.750 0.384
0.570 0.250 0.616
0.791 0.750 0.942
0.858 0.503 0.220
0.858 0.997 0.220
0.430 0.250 0.327
0.570 0.750 0.673
```

(2)
Entry from Alexandria: crystalline Tm5AgPb6 at its relaxed geometry (PBE-GGA).

DFT formation energy	-0.318	eV per atom
space group	No. 12
E_tot	-51.3	eV/cell

Cell and atoms, written as POSCAR:
```
Tm5AgPb6
1.0
7.968 -4.414 0.000
7.968 4.414 0.000
-1.429 0.000 4.596
Tm Ag Pb
5 1 6
Direct
0.000 0.000 0.000
0.169 0.169 0.668
0.354 0.354 0.354
0.646 0.646 0.646
0.831 0.831 0.332
0.500 0.500 0.000
0.080 0.582 0.831
0.246 0.754 0.500
0.418 0.920 0.169
0.582 0.080 0.831
0.754 0.246 0.500
0.920 0.418 0.169
```

Number 1: magnetic moment 0.00 μB/cell. Number 2: magnetic moment 0.00 μB/cell.